(1)
PBE SrAgP2O, optimized geometry; total magnetic moment = 4.47 μB per formula unit; excess energy over the best structure of this formula in the dataset = 3.75 eV/f.u.; Fermi-level density of states = 0.83 states/eV/atom; DFT total energy = -3.2395 eV/atom; uncorrected formation energy = 0.823 eV per atom
1.0
5.8720 0.0000 0.0000
0.0000 5.8720 0.0000
0.0000 0.0000 4.4188
Sr Ag P O
1 1 2 1
Cartesian
0.0000 0.0000 0.0000 Sr
2.9360 2.9360 2.2094 Ag
0.0000 2.9360 0.0000 P
2.9360 0.0000 0.0000 P
0.0000 0.0000 2.2094 O

***

(2)
PBE CdAgIr2, optimized geometry; formation enthalpy at 0 K = 0.434 eV/atom; total magnetic moment = 1.14 μB per formula unit; Fermi-level density of states = 1.17 states/eV/atom; DFT total energy = -4.9381 eV/atom
1.0
3.9125 0.0000 0.0000
0.0000 3.9125 0.0000
0.0000 0.0000 4.3455
Cd Ag Ir
1 1 2
Cartesian
0.0000 0.0000 0.0000 Cd
1.9562 1.9562 0.0000 Ag
0.0000 1.9562 2.1728 Ir
1.9562 0.0000 2.1728 Ir

***

(3)
PBE TaTiMn, optimized geometry; formation enthalpy at 0 K = -0.159 eV/atom; total magnetic moment = 0.00 μB per formula unit; excess energy over the best structure of this formula in the dataset = 0.00 eV/f.u.; Fermi-level density of states = 1.26 states/eV/atom; DFT total energy = -9.7979 eV/atom
1.0
3.0554 0.0000 0.0000
0.0000 3.0554 0.0000
0.0000 0.0000 9.6581
Ta Ti Mn
2 2 2
Cartesian
0.0000 0.0000 0.0000 Ta
1.5277 1.5277 4.8290 Ta
0.0000 0.0000 2.9545 Ti
1.5277 1.5277 7.7835 Ti
0.0000 0.0000 6.2932 Mn
1.5277 1.5277 1.4642 Mn

***

(4)
PBE TlCuSe2, optimized geometry; total magnetic moment = 0.00 μB per formula unit; Fermi-level density of states = 0.33 states/eV/atom; DFT total energy = -3.4072 eV/atom; uncorrected formation energy = -0.049 eV per atom
1.0
3.7690 0.0000 0.0000
0.0000 9.1563 0.0000
0.0000 0.0000 7.5805
Tl Cu Se
2 2 4
Cartesian
0.0000 0.0000 0.0000 Tl
1.8845 4.5781 0.0000 Tl
0.0000 0.0000 3.7902 Cu
1.8845 4.5781 3.7902 Cu
0.0000 4.5781 2.3255 Se
0.0000 4.5781 5.2550 Se
1.8845 0.0000 2.3255 Se
1.8845 0.0000 5.2550 Se

***

(5)
PBE CaSmDy4, optimized geometry; formation enthalpy at 0 K = 0.049 eV/atom; total magnetic moment = 0.00 μB per formula unit; excess energy over the best structure of this formula in the dataset = 0.00 eV/f.u.; Fermi-level density of states = 1.45 states/eV/atom; DFT total energy = -4.1388 eV/atom
1.0
6.2928 0.0000 0.0000
0.0000 3.6193 0.0000
-2.0947 0.0000 17.4096
Ca Sm Dy
2 2 8
Cartesian
0.0000 0.0000 0.0000 Ca
-1.0473 1.8096 8.7048 Ca
2.0990 0.0000 8.7048 Sm
3.1464 1.8096 0.0000 Sm
0.0242 0.0049 5.7087 Dy
-1.0232 1.8047 14.4135 Dy
2.1188 0.0051 2.9348 Dy
1.0715 1.8045 11.6396 Dy
3.1266 1.8147 5.7700 Dy
2.0793 3.6142 14.4748 Dy
5.2213 1.8145 2.9961 Dy
4.1739 3.6144 11.7009 Dy

***

(6)
PBE NaUO2, optimized geometry; total magnetic moment = 2.72 μB per formula unit; Fermi-level density of states = 1.07 states/eV/atom; DFT total energy = -7.5382 eV/atom; uncorrected formation energy = -1.907 eV per atom
1.0
2.9738 0.0000 0.0000
0.0000 2.9738 0.0000
0.0000 0.0000 6.1813
Na U O
1 1 2
Cartesian
0.0000 0.0000 0.0000 Na
0.0000 0.0000 3.0907 U
1.4869 1.4869 1.7410 O
1.4869 1.4869 4.4404 O

***

(7)
PBE Ac6Si2SnCl3, optimized geometry; total magnetic moment = 0.00 μB per formula unit; Fermi-level density of states = 0.47 states/eV/atom; DFT total energy = -4.8989 eV/atom; uncorrected formation energy = -1.146 eV per atom
1.0
9.7742 -2.3203 0.0000
9.7742 2.3203 0.0000
-1.4319 0.0000 8.8060
Ac Si Sn Cl
6 2 1 3
Cartesian
-0.2183 0.0000 2.2765 Ac
5.8137 0.0000 3.7403 Ac
5.1779 0.0000 7.8765 Ac
12.9386 0.0000 0.9295 Ac
12.3028 0.0000 5.0657 Ac
18.3348 0.0000 6.5295 Ac
2.8004 0.0000 2.9752 Si
15.3161 0.0000 5.8308 Si
9.7742 0.0000 0.0000 Sn
2.0297 0.0000 7.3529 Cl
9.0582 0.0000 4.4030 Cl
16.0868 0.0000 1.4531 Cl

***

(8)
PBE Tb2NdY3As6, optimized geometry; formation enthalpy at 0 K = -1.540 eV/atom; total magnetic moment = 0.00 μB per formula unit; Fermi-level density of states = 0.15 states/eV/atom; DFT total energy = -6.6501 eV/atom
1.0
3.5986 -6.2318 0.0000
3.5986 6.2318 0.0000
-2.3970 0.0000 6.7834
Tb Nd Y As
2 1 3 6
Cartesian
3.5986 4.1509 0.0000 Tb
3.5986 -4.1509 0.0000 Tb
3.5986 0.0000 0.0000 Nd
-1.1985 0.0000 3.3917 Y
2.4000 2.0641 3.3917 Y
2.4000 -2.0641 3.3917 Y
-0.0147 2.1046 5.0640 As
1.1681 0.0000 1.7152 As
-0.0147 -2.1046 5.0640 As
4.8147 2.1046 1.7194 As
3.6320 0.0000 5.0683 As
4.8147 -2.1046 1.7194 As